# 1
The following is a GGA+U calculation of a geometry-optimized MnSnO3 structure, from Alexandria.

The structure belongs to space group C2/m (No. 12); the cell edges are 9.738, 5.634 and 5.784 Å and the angles 90.00°, 92.68° and 90.00°. The asymmetric unit holds Mn at (0.168, 0.000, 0.000), Sn at (0.167, 0.000, 0.500), O at (0.005, 0.000, 0.733) and O at (0.246, 0.249, 0.266).

As for the total energy: -134.0 eV per cell. For the total moment, the calculation gives 5.0 μB/f.u.

# 2
The following is a GGA+U calculation of a geometry-optimized MnSnO2 structure, from Alexandria.

The structure belongs to space group R-3m (No. 166, hexagonal axes); the cell edges are 3.6078, 3.6078 and 18.4747 Å and the angles 90.00°, 90.00° and 120.00°. The asymmetric unit holds Mn at (0.0000, 0.0000, 0.0000), Sn at (0.0000, 0.0000, 0.5000) and O at (0.0000, 0.0000, 0.1035).

As for the density of states at the Fermi level: 0.2587 states/eV per atom. As for the total energy: -75.6 eV per cell. For the total moment, the calculation gives 4.0 μB/f.u.

# 3
The following is a GGA+U calculation of a geometry-optimized MnSn2O6 structure, from Alexandria.

The structure belongs to space group P4_2/mnm (No. 136); the cell edges are 4.711, 4.711 and 9.455 Å and the angles 90.00°, 90.00° and 90.00°. The asymmetric unit holds Mn at (0.000, 0.000, 0.000), Sn at (0.000, 0.000, 0.334), O at (0.187, 0.187, 0.158) and O at (0.206, 0.206, 0.500).

As for the total energy: -117.4 eV per cell. For the total moment, the calculation gives 3.0 μB/f.u.

# 4
The following is a GGA+U calculation of a geometry-optimized Mn5SnO12 structure, from Alexandria.

The structure belongs to space group C2/m (No. 12); the cell edges are 5.172, 8.966 and 10.301 Å and the angles 90.00°, 90.10° and 90.00°. The asymmetric unit holds Mn at (0.000, 0.000, 0.000), Mn at (0.000, 0.167, 0.500), Mn at (0.000, 0.333, 0.000), Sn at (0.000, 0.500, 0.500), O at (0.146, 0.000, 0.597), O at (0.166, 0.167, 0.909), O at (0.166, 0.500, 0.909) and O at (0.177, 0.323, 0.597).

As for the total energy: -249.0 eV per cell. For the total moment, the calculation gives 15.0 μB/f.u.

# 5
The following is a GGA+U calculation of a geometry-optimized Mn5Sn2O12 structure, from Alexandria.

The structure belongs to space group C2/m (No. 12); the cell edges are 10.675, 5.821 and 7.376 Å and the angles 90.00°, 102.65° and 90.00°. The asymmetric unit holds Mn at (0.000, 0.000, 0.000), Mn at (0.167, 0.500, 0.838), Mn at (0.203, 0.500, 0.223), Sn at (0.000, 0.239, 0.500), O at (0.033, 0.500, 0.325), O at (0.040, 0.000, 0.316), O at (0.136, 0.269, 0.024) and O at (0.189, 0.256, 0.664).

As for the density of states at the Fermi level: 0.3323 states/eV per atom. As for the total energy: -261.7 eV per cell. For the total moment, the calculation gives 19.0 μB/f.u.

# 6
The following is a GGA+U calculation of a geometry-optimized MnSnO3 structure, from Alexandria.

The structure belongs to space group P-1 (No. 2); the cell edges are 5.363, 5.784 and 6.023 Å and the angles 86.92°, 78.57° and 77.28°. The asymmetric unit holds Mn at (0.088, 0.385, 0.230), Sn at (0.460, 0.246, 0.612), O at (0.198, 0.338, 0.886), O at (0.248, 0.574, 0.462) and O at (0.341, 0.097, 0.358).

As for the density of states at the Fermi level: 0.0415 states/eV per atom. As for the total energy: -67.9 eV per cell. For the total moment, the calculation gives 5.0 μB/f.u.

# 7
The following is a GGA+U calculation of a geometry-optimized Mn5SnO8 structure, from Alexandria.

The structure belongs to space group C222_1 (No. 20); the cell edges are 8.674, 8.714 and 9.197 Å and the angles 90.00°, 90.00° and 90.00°. The asymmetric unit holds Mn at (0.121, 0.127, 0.372), Mn at (0.123, 0.370, 0.130), Mn at (0.245, 0.500, 0.500), Sn at (0.000, 0.261, 0.750), O at (0.103, 0.370, 0.369), O at (0.123, 0.144, 0.129), O at (0.132, 0.393, 0.880) and O at (0.138, 0.124, 0.627).

As for the density of states at the Fermi level: 0.1656 states/eV per atom. As for the energy above the most stable polymorph in this dataset: 1 meV/atom. For the total moment, the calculation gives 23.0 μB/f.u.

# 8
The following is a GGA+U calculation of a geometry-optimized MnSnO3 structure, from Alexandria.

The structure belongs to space group C2/c (No. 15); the cell edges are 10.496, 9.345 and 5.662 Å and the angles 90.00°, 96.12° and 90.00°. The asymmetric unit holds Mn at (0.000, 0.108, 0.250), Mn at (0.000, 0.289, 0.750), Sn at (0.249, 0.421, 0.047), O at (0.125, 0.065, 0.625), O at (0.126, 0.239, 0.066) and O at (0.146, 0.437, 0.717).

As for the total energy: -275.0 eV per cell. For the total moment, the calculation gives 5.0 μB/f.u.